First-principles (PBE) data for a relaxed structure of LaTbSc, as listed in Alexandria.

Calculated values
V = 186 Å³/cell
Fermi-level density of states = 1.5348 states/eV/atom
Spin magnetization = 0.0 μB/cell
ρ = 6.134 g/cm³
SG = No. 2
Energy of formation from the pure elements = 0.07 eV/atom

Cell and atoms, written as extended XYZ:
```
6
Lattice="3.5534 0.0000 0.0000 0.0042 6.0833 0.0000 1.7698 2.9298 8.5860" Properties=species:S:1:pos:R:3 pbc="T T T"
La 0.8912 2.5130 2.7731
La 4.4362 6.5001 5.8130
Tb 2.6610 3.4355 5.8571
Tb 2.6664 5.5776 2.7289
Sc 0.8905 4.5905 0.0144
Sc 4.4369 4.4225 8.5716
```